(1)
Density functional theory data (PBE) for an optimized crystal structure of Tm3TlSe.

abc: 3.8856 9.2775 14.7933
angles: 90.00 90.00 90.00
Closest atoms and distances in Å follow each position.
Sites, in units of the cell vectors:
Tm 0.2500 0.0397 0.1162  3 Se 2.80-2.83
Tm 0.2500 0.2761 0.7703  1 Se 2.77
Tm 0.7500 0.4603 0.6162  3 Se 2.80-2.83
Tm 0.2500 0.1624 0.5220  2 Se 2.80
Tm 0.2500 0.7761 0.7297  1 Se 2.77
Tm 0.7500 0.8376 0.4780  2 Se 2.80
Tm 0.2500 0.6624 0.9780  2 Se 2.80
Tm 0.7500 0.3376 0.0220  2 Se 2.80
Tm 0.7500 0.2239 0.2703  1 Se 2.77
Tm 0.2500 0.5397 0.3838  3 Se 2.80-2.83
Tm 0.7500 0.9603 0.8838  3 Se 2.80-2.83
Tm 0.7500 0.7239 0.2297  1 Se 2.77
Tl 0.2500 0.4649 0.1717  8 Tm 3.17-3.40
Tl 0.7500 0.0351 0.6717  8 Tm 3.17-3.40
Tl 0.2500 0.9649 0.3283  8 Tm 3.17-3.40
Tl 0.7500 0.5351 0.8283  8 Tm 3.17-3.40
Se 0.7500 0.8395 0.0570  6 Tm 2.77-2.83
Se 0.2500 0.6605 0.5570  6 Tm 2.77-2.83
Se 0.2500 0.1605 0.9430  6 Tm 2.77-2.83
Se 0.7500 0.3395 0.4430  6 Tm 2.77-2.83

Results
Space-group type ... Pnma
Excess energy over the best structure of this formula in the dataset ... 0 meV per atom

(2)
Density functional theory data (PBE) for an optimized crystal structure of Tm3TlSe.

abc: 6.5417 9.0878 10.6229
angles: 118.37 90.00 90.00
Closest atoms and distances in Å follow each position.
Sites, in units of the cell vectors:
Tm 0.4082 0.2280 0.1686  3 Se 2.75-2.77
Tm 0.0918 0.7280 0.6686  3 Se 2.75-2.77
Tm 0.4177 0.3254 0.5366  2 Se 2.73-2.79
Tm 0.9177 0.1746 0.9634  2 Se 2.73-2.79
Tm 0.0823 0.8254 0.0366  2 Se 2.73-2.79
Tm 0.6396 0.9196 0.3090  1 Se 2.80
Tm 0.8604 0.4196 0.8090  1 Se 2.80
Tm 0.3604 0.0804 0.6910  1 Se 2.80
Tm 0.1396 0.5804 0.1910  1 Se 2.80
Tm 0.5823 0.6746 0.4634  2 Se 2.73-2.79
Tm 0.9082 0.2720 0.3314  3 Se 2.75-2.77
Tm 0.5918 0.7720 0.8314  3 Se 2.75-2.77
Tl 0.6653 0.5076 0.1291  7 Tm 3.15-3.50, 1 Tl 3.44
Tl 0.1653 0.9924 0.3709  7 Tm 3.15-3.50, 1 Tl 3.44
Tl 0.3347 0.4924 0.8709  7 Tm 3.15-3.50, 1 Tl 3.44
Tl 0.8347 0.0076 0.6291  7 Tm 3.15-3.50, 1 Tl 3.44
Se 0.2699 0.9924 0.9044  6 Tm 2.73-2.80
Se 0.2301 0.4924 0.4044  6 Tm 2.73-2.80
Se 0.7699 0.5076 0.5956  6 Tm 2.73-2.80
Se 0.7301 0.0076 0.0956  6 Tm 2.73-2.80

Results
Space-group type ... P2_1/c
Excess energy over the best structure of this formula in the dataset ... 139 meV per atom

(3)
Density functional theory data (PBE) for an optimized crystal structure of Tm6TlSe3.

abc: 3.8577 11.7468 11.9648
angles: 107.03 90.00 90.00
Closest atoms and distances in Å follow each position.
Sites, in units of the cell vectors:
Tm 0.2500 0.8647 0.5251  2 Se 2.98, 3 Tl 3.08-3.16
Tm 0.7500 0.3834 0.0800  4 Se 2.78-2.87
Tm 0.7500 0.7956 0.7470  3 Se 2.79-2.95
Tm 0.7500 0.7243 0.2674  3 Se 2.79-3.01
Tm 0.2500 0.6166 0.9200  4 Se 2.78-2.87
Tm 0.7500 0.1353 0.4749  2 Se 2.98, 3 Tl 3.08-3.16
Tm 0.7500 0.4988 0.6477  4 Se 2.85-3.03
Tm 0.2500 0.5012 0.3523  4 Se 2.85-3.03
Tm 0.2500 0.0818 0.9058  3 Se 2.74-2.75
Tm 0.2500 0.2044 0.2530  3 Se 2.79-2.95
Tm 0.7500 0.9182 0.0942  3 Se 2.74-2.75
Tm 0.2500 0.2757 0.7326  3 Se 2.79-3.01
Se 0.2500 0.8542 0.9228  6 Tm 2.74-2.79
Se 0.2500 0.3354 0.5045  7 Tm 2.90-3.03
Se 0.7500 0.1458 0.0772  6 Tm 2.74-2.79
Se 0.7500 0.6646 0.4955  7 Tm 2.90-3.03
Se 0.7500 0.4333 0.8591  6 Tm 2.79-2.87
Se 0.2500 0.5667 0.1409  6 Tm 2.79-2.87
Tl 0.7500 0.0497 0.6948  8 Tm 3.08-3.22
Tl 0.2500 0.9503 0.3052  8 Tm 3.08-3.22

Results
Space-group type ... P2_1/m

(4)
Density functional theory data (PBE) for an optimized crystal structure of Tm6TlSe8.

abc: 7.9177 7.9177 7.9177
angles: 92.84 92.84 92.84
Closest atoms and distances in Å follow each position.
Sites, in units of the cell vectors:
Tm 0.3843 0.5659 0.1987  5 Se 2.76-2.89
Tm 0.4341 0.8013 0.6157  5 Se 2.76-2.89
Tm 0.8013 0.6157 0.4341  5 Se 2.76-2.89
Tm 0.1987 0.3843 0.5659  5 Se 2.76-2.89
Tm 0.6157 0.4341 0.8013  5 Se 2.76-2.89
Tm 0.5659 0.1987 0.3843  5 Se 2.76-2.89
Se 0.1414 0.6996 0.4076  4 Tm 2.76-2.89
Se 0.2458 0.2458 0.2458  3 Tm 2.76
Se 0.5924 0.8586 0.3004  4 Tm 2.76-2.89
Se 0.6996 0.4076 0.1414  4 Tm 2.76-2.89
Se 0.3004 0.5924 0.8586  4 Tm 2.76-2.89
Se 0.8586 0.3004 0.5924  4 Tm 2.76-2.89
Se 0.7542 0.7542 0.7542  3 Tm 2.76
Se 0.4076 0.1414 0.6996  4 Tm 2.76-2.89
Tl 0.0000 0.0000 0.0000  2 Se 3.20

Results
Space-group type ... R-3

(5)
Density functional theory data (PBE) for an optimized crystal structure of Tm4Tl3Se8.

abc: 8.2595 8.4140 8.4140
angles: 89.57 119.04 119.04
Closest atoms and distances in Å follow each position.
Sites, in units of the cell vectors:
Se 0.4681 0.2185 0.2185  2 Tm 2.80-2.82, 2 Tl 2.98
Se 0.0000 0.2424 0.7576  3 Tm 2.87-2.99, 2 Tl 3.02
Se 0.0242 0.7689 0.7689  4 Tm 2.87-2.97, 1 Tl 3.17
Se 0.5319 0.7815 0.7815  2 Tm 2.80-2.82, 2 Tl 2.98
Se 0.9758 0.2311 0.2311  4 Tm 2.87-2.97, 1 Tl 3.17
Se 0.5000 0.7629 0.2371  3 Tm 2.81-3.02, 3 Tl 2.99-3.12
Se 0.0000 0.7576 0.2424  3 Tm 2.87-2.99, 2 Tl 3.02
Se 0.5000 0.2371 0.7629  3 Tm 2.81-3.02, 3 Tl 2.99-3.12
Tl 0.5000 0.0000 0.5000  6 Se 2.98-3.02
Tl 0.5000 0.5000 0.5000  6 Se 3.12-3.19
Tl 0.5000 0.5000 0.0000  6 Se 2.98-3.02
Tm 0.0000 0.0000 0.0000  6 Se 2.82-2.90
Tm 0.5000 0.0000 0.0000  6 Se 2.80-2.87
Tm 0.0000 0.0000 0.5000  6 Se 2.97-3.02
Tm 0.0000 0.5000 0.0000  6 Se 2.97-3.02

Results
Space-group type ... C2/m

(6)
Density functional theory data (PBE) for an optimized crystal structure of Tm3Tl2Se6.

abc: 7.1125 7.1089 7.9516
angles: 81.43 72.67 59.98
Closest atoms and distances in Å follow each position.
Sites, in units of the cell vectors:
Tl 0.8332 0.3337 0.5000  6 Se 3.25-3.26
Tl 0.1668 0.6663 0.5000  6 Se 3.25-3.26
Se 0.2634 0.0000 0.2041  3 Tm 2.82-2.84
Se 0.0666 0.3354 0.7940  3 Tm 2.82-2.85
Se 0.4021 0.6646 0.7940  3 Tm 2.82-2.85
Se 0.7366 0.0000 0.7959  3 Tm 2.82-2.84
Se 0.5979 0.3354 0.2060  3 Tm 2.82-2.85
Se 0.9334 0.6646 0.2060  3 Tm 2.82-2.85
Tm 0.0000 0.0000 0.0000  6 Se 2.82-2.85
Tm 0.6671 0.6657 0.0000  6 Se 2.82-2.85
Tm 0.3329 0.3343 0.0000  6 Se 2.82-2.85

Results
Space-group type ... C2/m

(7)
Density functional theory data (PBE) for an optimized crystal structure of Tm3Tl5Se12.

abc: 14.4726 14.4726 14.4726
angles: 109.47 109.47 109.47
Closest atoms and distances in Å follow each position.
Sites, in units of the cell vectors:
Tl 0.7500 0.6250 0.3750  4 Se 2.69
Tl 0.3750 0.2500 0.1250  4 Se 2.69
Tl 0.6250 0.8750 0.2500  4 Se 2.69
Tl 0.7500 0.1250 0.8750  4 Se 2.69
Tl 0.8750 0.6250 0.7500  4 Se 2.69
Tl 0.0000 0.5000 0.0000  6 Se 2.91
Tl 0.8750 0.2500 0.6250  4 Se 2.69
Tl 0.5000 0.0000 0.5000  6 Se 2.91
Tl 0.2500 0.8750 0.1250  4 Se 2.69
Tl 0.1250 0.7500 0.3750  4 Se 2.69
Tl 0.5000 0.5000 0.0000  6 Se 2.91
Tl 0.3750 0.1250 0.7500  4 Se 2.69
Tl 0.5000 0.5000 0.5000  6 Se 2.91
Tl 0.2500 0.3750 0.6250  4 Se 2.69
Tl 0.0000 0.0000 0.5000  6 Se 2.91
Tl 0.0000 0.0000 0.0000  6 Se 2.91
Tl 0.0000 0.5000 0.5000  6 Se 2.91
Tl 0.1250 0.3750 0.2500  4 Se 2.69
Tl 0.6250 0.7500 0.8750  4 Se 2.69
Tl 0.5000 0.0000 0.0000  6 Se 2.91
Tm 0.2500 0.6250 0.8750  8 Se 3.02-3.06
Tm 0.1250 0.8750 0.7500  8 Se 3.02-3.06
Tm 0.6250 0.2500 0.3750  8 Se 3.02-3.06
Tm 0.1250 0.2500 0.8750  8 Se 3.02-3.06
Tm 0.7500 0.8750 0.6250  8 Se 3.02-3.06
Tm 0.8750 0.1250 0.2500  8 Se 3.02-3.06
Tm 0.3750 0.6250 0.2500  8 Se 3.02-3.06
Tm 0.8750 0.7500 0.1250  8 Se 3.02-3.06
Tm 0.2500 0.1250 0.3750  8 Se 3.02-3.06
Tm 0.3750 0.7500 0.6250  8 Se 3.02-3.06
Tm 0.7500 0.3750 0.1250  8 Se 3.02-3.06
Tm 0.6250 0.3750 0.7500  8 Se 3.02-3.06
Se 0.9426 0.3577 0.2696  2 Tl 2.69-2.91
Se 0.1423 0.7304 0.5574  2 Tl 2.69-2.91
Se 0.0881 0.1730 0.2304  2 Tl 2.69-2.91
Se 0.5849 0.6423 0.4119  2 Tl 2.69-2.91
Se 0.7696 0.4426 0.3577  2 Tl 2.69-2.91
Se 0.8270 0.9151 0.0574  2 Tl 2.69-2.91
Se 0.2304 0.5574 0.6423  2 Tl 2.69-2.91
Se 0.6730 0.2304 0.5881  2 Tl 2.69-2.91
Se 0.8577 0.5881 0.9151  2 Tl 2.69-2.91
Se 0.5881 0.7304 0.6730  2 Tl 2.69-2.91
Se 0.7696 0.3270 0.9119  2 Tl 2.69-2.91
Se 0.9119 0.8270 0.7696  2 Tl 2.69-2.91
Se 0.2304 0.6730 0.0881  2 Tl 2.69-2.91
Se 0.1730 0.0881 0.7304  2 Tl 2.69-2.91
Se 0.0881 0.9151 0.3577  2 Tl 2.69-2.91
Se 0.6423 0.0574 0.2304  2 Tl 2.69-2.91
Se 0.1423 0.4119 0.0849  2 Tl 2.69-2.91
Se 0.0574 0.4151 0.8270  2 Tl 2.69-2.91
Se 0.3577 0.9426 0.7696  2 Tl 2.69-2.91
Se 0.1730 0.0849 0.9426  2 Tl 2.69-2.91
Se 0.4426 0.7696 0.8577  2 Tl 2.69-2.91
Se 0.5574 0.3270 0.9151  2 Tl 2.69-2.91
Se 0.4151 0.3577 0.5881  2 Tl 2.69-2.91
Se 0.6730 0.4426 0.5849  2 Tl 2.69-2.91
Se 0.2696 0.8577 0.9426  2 Tl 2.69-2.91
Se 0.4119 0.1423 0.5849  2 Tl 2.69-2.91
Se 0.0849 0.9119 0.1423  2 Tl 2.69-2.91
Se 0.5574 0.2304 0.1423  2 Tl 2.69-2.91
Se 0.4119 0.2696 0.3270  2 Tl 2.69-2.91
Se 0.5881 0.8577 0.4151  2 Tl 2.69-2.91
Se 0.7304 0.1423 0.0574  2 Tl 2.69-2.91
Se 0.3577 0.4151 0.0881  2 Tl 2.69-2.91
Se 0.8270 0.9119 0.2696  2 Tl 2.69-2.91
Se 0.9151 0.8270 0.5574  2 Tl 2.69-2.91
Se 0.4151 0.0574 0.3270  2 Tl 2.69-2.91
Se 0.3270 0.5574 0.4151  2 Tl 2.69-2.91
Se 0.9151 0.0881 0.8577  2 Tl 2.69-2.91
Se 0.6423 0.5849 0.9119  2 Tl 2.69-2.91
Se 0.0574 0.6423 0.7304  2 Tl 2.69-2.91
Se 0.9426 0.5849 0.1730  2 Tl 2.69-2.91
Se 0.3270 0.7696 0.4119  2 Tl 2.69-2.91
Se 0.4426 0.6730 0.0849  2 Tl 2.69-2.91
Se 0.8577 0.2696 0.4426  2 Tl 2.69-2.91
Se 0.0849 0.1730 0.4426  2 Tl 2.69-2.91
Se 0.2696 0.4119 0.8270  2 Tl 2.69-2.91
Se 0.7304 0.5881 0.1730  2 Tl 2.69-2.91
Se 0.5849 0.9426 0.6730  2 Tl 2.69-2.91
Se 0.9119 0.0849 0.6423  2 Tl 2.69-2.91

Results
Space-group type ... Ia-3d

(8)
Density functional theory data (PBE) for an optimized crystal structure of Tm4TlSe5.

abc: 7.1644 8.9835 9.0495
angles: 90.00 90.00 90.00
Closest atoms and distances in Å follow each position.
Sites, in units of the cell vectors:
Tm 0.4911 0.7629 0.0000  3 Se 2.75-2.77, 1 Tl 3.03
Tm 0.0865 0.0000 0.7522  5 Se 2.78-3.00, 1 Tl 3.08
Tm 0.9135 0.5000 0.7478  5 Se 2.78-3.00, 1 Tl 3.08
Tm 0.9135 0.5000 0.2522  5 Se 2.78-3.00, 1 Tl 3.08
Tm 0.5089 0.2629 0.5000  3 Se 2.75-2.77, 1 Tl 3.03
Tm 0.0865 0.0000 0.2478  5 Se 2.78-3.00, 1 Tl 3.08
Tm 0.5089 0.7371 0.5000  3 Se 2.75-2.77, 1 Tl 3.03
Tm 0.4911 0.2371 0.0000  3 Se 2.75-2.77, 1 Tl 3.03
Se 0.2391 0.7079 0.2230  3 Tm 2.75-3.00
Se 0.3074 0.0000 0.5000  4 Tm 2.77-2.78
Se 0.2391 0.2921 0.2230  3 Tm 2.75-3.00
Se 0.7609 0.2079 0.2770  3 Tm 2.75-3.00
Se 0.6926 0.5000 0.0000  4 Tm 2.77-2.78
Se 0.2391 0.2921 0.7770  3 Tm 2.75-3.00
Se 0.7609 0.2079 0.7230  3 Tm 2.75-3.00
Se 0.7609 0.7921 0.2770  3 Tm 2.75-3.00
Se 0.7609 0.7921 0.7230  3 Tm 2.75-3.00
Se 0.2391 0.7079 0.7770  3 Tm 2.75-3.00
Tl 0.7928 0.0000 0.0000  4 Tm 3.03-3.08, 4 Se 3.13
Tl 0.2072 0.5000 0.5000  4 Tm 3.03-3.08, 4 Se 3.13

Results
Space-group type ... Pmmn

(9)
Density functional theory data (PBE) for an optimized crystal structure of Tm4TlSe3.

abc: 4.0219 7.1894 7.1894
angles: 108.68 90.00 90.00
Closest atoms and distances in Å follow each position.
Sites, in units of the cell vectors:
Tm 0.0000 0.7417 0.7417  4 Se 2.85-2.92, 2 Tl 2.96
Tm 0.0000 0.2583 0.2583  4 Se 2.85-2.92, 2 Tl 2.96
Tm 0.5000 0.7491 0.2509  5 Se 2.90-2.91, 1 Tl 2.93
Tm 0.5000 0.2509 0.7491  5 Se 2.90-2.91, 1 Tl 2.93
Tl 0.5000 0.0000 0.0000  6 Tm 2.93-2.96
Se 0.0000 0.5000 0.0000  6 Tm 2.90-2.92
Se 0.0000 0.0000 0.5000  6 Tm 2.90-2.92
Se 0.5000 0.5000 0.5000  6 Tm 2.85-2.91

Results
Space-group type ... Cmmm

(10)
Density functional theory data (PBE) for an optimized crystal structure of Tm4TlSe.

abc: 7.0029 9.3097 7.5385
angles: 90.00 90.00 135.96
Closest atoms and distances in Å follow each position.
Sites, in units of the cell vectors:
Se 0.4998 0.9997 0.7500  6 Tm 2.86-2.97
Se 0.5002 0.0003 0.2500  6 Tm 2.86-2.97
Tl 0.9993 0.4998 0.7500  6 Tm 3.04-3.10, 2 Se 3.24
Tl 0.0007 0.5002 0.2500  6 Tm 3.04-3.10, 2 Se 3.24
Tm 0.9385 0.2040 0.5002  2 Se 2.86, 2 Tl 3.10
Tm 0.9385 0.2040 0.9998  2 Se 2.86, 2 Tl 3.10
Tm 0.0615 0.7960 0.0002  2 Se 2.86, 2 Tl 3.10
Tm 0.0615 0.7960 0.4998  2 Se 2.86, 2 Tl 3.10
Tm 0.3979 0.2593 0.2500  1 Se 2.97, 1 Tl 3.04
Tm 0.6021 0.7407 0.7500  1 Se 2.97, 1 Tl 3.04
Tm 0.6035 0.7420 0.2500  1 Se 2.97, 1 Tl 3.04
Tm 0.3965 0.2580 0.7500  1 Se 2.97, 1 Tl 3.04

Results
Space-group type ... P2_1/m

(11)
Density functional theory data (PBE) for an optimized crystal structure of TmU2Tl3Se6.

abc: 7.2105 7.2105 8.2140
angles: 98.41 98.41 119.99
Closest atoms and distances in Å follow each position.
Sites, in units of the cell vectors:
Se 0.3965 0.0678 0.2035  1 Tm 2.86, 2 U 2.90
Se 0.7397 0.7397 0.2048  1 Tm 2.86, 2 U 2.90
Se 0.2603 0.2603 0.7952  1 Tm 2.86, 2 U 2.90
Se 0.9322 0.6036 0.7965  1 Tm 2.86, 2 U 2.90
Se 0.0678 0.3965 0.2035  1 Tm 2.86, 2 U 2.90
Se 0.6036 0.9322 0.7965  1 Tm 2.86, 2 U 2.90
Tl 0.8316 0.1684 0.5000  6 Se 3.33-3.36
Tl 0.5000 0.5000 0.5000  6 Se 3.33-3.36
Tl 0.1684 0.8316 0.5000  6 Se 3.33-3.36
U 0.6664 0.3336 0.0000  6 Se 2.90
U 0.3336 0.6664 0.0000  6 Se 2.90
Tm 0.0000 0.0000 0.0000  6 Se 2.86

Results
Space-group type ... C2/m

(12)
Density functional theory data (PBE) for an optimized crystal structure of TmU2Tl2Se6.

abc: 7.1596 7.1596 8.2169
angles: 98.34 98.34 119.96
Closest atoms and distances in Å follow each position.
Sites, in units of the cell vectors:
U 0.3336 0.6664 0.5000  6 Se 2.87
U 0.6664 0.3336 0.5000  6 Se 2.87
Tl 0.8337 0.1663 0.0000  6 Se 3.34-3.36
Tl 0.1663 0.8337 0.0000  6 Se 3.34-3.36
Se 0.6016 0.9333 0.2986  1 Tm 2.85, 2 U 2.87
Se 0.3984 0.0667 0.7014  1 Tm 2.85, 2 U 2.87
Se 0.0667 0.3984 0.7014  1 Tm 2.85, 2 U 2.87
Se 0.7370 0.7370 0.7019  1 Tm 2.85, 2 U 2.87
Se 0.2630 0.2630 0.2981  1 Tm 2.85, 2 U 2.87
Se 0.9333 0.6016 0.2986  1 Tm 2.85, 2 U 2.87
Tm 0.0000 0.0000 0.5000  6 Se 2.85

Results
Space-group type ... C2/m

Number 1: N(E_F) 18.71 states/eV per cell, raw formation energy -0.82 eV per atom. Number 2: N(E_F) 14.19 states/eV per cell, raw formation energy -0.68 eV per atom. Number 3: N(E_F) 13.20 states/eV per cell, raw formation energy -1.00 eV per atom. Number 4: N(E_F) 8.16 states/eV per cell, raw formation energy -1.53 eV per atom. Number 5: N(E_F) 5.47 states/eV per cell, raw formation energy -1.24 eV per atom. Number 6: N(E_F) 4.93 states/eV per cell, raw formation energy -1.39 eV per atom. Number 7: N(E_F) 24.94 states/eV per cell, raw formation energy -0.67 eV per atom. Number 8: N(E_F) 7.38 states/eV per cell, raw formation energy -1.28 eV per atom. Number 9: N(E_F) 3.21 states/eV per cell, raw formation energy -1.30 eV per atom. Number 10: N(E_F) 10.41 states/eV per cell, raw formation energy -0.43 eV per atom. Number 11: N(E_F) 8.49 states/eV per cell, raw formation energy -1.03 eV per atom. Number 12: N(E_F) 11.85 states/eV per cell, raw formation energy -1.15 eV per atom.